(1)
MgMoW2: relaxed, PBE.

abc: 3.2050 4.5280 9.0956
angles: 90.00 90.00 90.00
Space group Immm (No. 71)
Unique sites:
Mg1 0.0000 0.0000 0.0000 x2
Mo1 0.0000 0.0000 0.5000 x2
W1 0.0000 0.5000 0.2330 x4

## Properties
- DFT formation energy (eV/atom) = 0.32
- raw total energy (eV per atom) = -9.2671


(2)
MgMoW2: relaxed, PBE.

abc: 3.2951 3.2951 6.1692
angles: 90.00 90.00 90.00
Space group P4/mmm (No. 123)
Unique sites:
Mg1 0.0000 0.0000 0.0000 x1
Mo1 0.0000 0.0000 0.5000 x1
W1 0.5000 0.5000 0.2736 x2

## Properties
- DFT formation energy (eV/atom) = 0.47
- raw total energy (eV per atom) = -9.1119